Entry 1:
First-principles (PBE) data for a relaxed structure of InIO4, as listed in Alexandria.

a = 5.344 Å, b = 5.314 Å, c = 5.371 Å
α = 90.00°, β = 93.31°, γ = 90.00°
Fractional positions:
In1 0.000 0.000 0.000
In2 0.000 0.500 0.500
I1 0.500 0.000 0.500
I2 0.500 0.500 0.000
O1 0.168 0.161 0.348
O2 0.168 0.339 0.848
O3 0.343 0.669 0.323
O4 0.343 0.831 0.823
O5 0.657 0.169 0.177
O6 0.657 0.331 0.677
O7 0.832 0.661 0.152
O8 0.832 0.839 0.652

Total DFT energy (no corrections)   -4.6693 eV/atom
Magnetic moment   0.00 μB per atom
Calculated density   6.7 Mg/m³

=====

Entry 2:
First-principles (PBE) data for a relaxed structure of TlFe2Sb2, as listed in Alexandria.

a = 5.845 Å, b = 5.845 Å, c = 5.845 Å
α = 130.94°, β = 130.94°, γ = 71.91°
Fractional positions:
Tl1 0.000 0.000 0.000
Fe1 0.382 0.382 0.000
Fe2 0.618 0.618 0.000
Sb1 0.250 0.750 0.500
Sb2 0.750 0.250 0.500

Total DFT energy (no corrections)   -5.0913 eV/atom
Magnetic moment   0.88 μB per atom
Calculated density   8.3 Mg/m³

=====

Entry 3:
First-principles (PBE) data for a relaxed structure of BaY2Os, as listed in Alexandria.

a = 9.496 Å, b = 9.496 Å, c = 9.496 Å
α = 25.88°, β = 25.88°, γ = 25.88°
Fractional positions:
Ba1 0.000 0.000 0.000
Y1 0.214 0.214 0.214
Y2 0.786 0.786 0.786
Os1 0.500 0.500 0.500

Total DFT energy (no corrections)   -6.4542 eV/atom
Magnetic moment   0.00 μB per atom
Calculated density   5.8 Mg/m³

=====

Entry 4:
First-principles (PBE) data for a relaxed structure of TbGd2Ta, as listed in Alexandria.

a = 11.944 Å, b = 11.944 Å, c = 11.944 Å
α = 15.74°, β = 15.74°, γ = 15.74°
Fractional positions:
Tb1 0.000 0.000 0.000
Gd1 0.417 0.417 0.417
Gd2 0.583 0.583 0.583
Ta1 0.500 0.500 0.500

Total DFT energy (no corrections)   -10.5495 eV/atom
Magnetic moment   3.67 μB per atom
Calculated density   9.9 Mg/m³

=====

Entry 5:
First-principles (PBE) data for a relaxed structure of CaTl2Pb, as listed in Alexandria.

a = 3.705 Å, b = 4.575 Å, c = 7.083 Å
α = 90.00°, β = 90.00°, γ = 90.00°
Fractional positions:
Ca1 0.000 0.000 0.000
Tl1 0.500 0.500 0.253
Tl2 0.500 0.500 0.747
Pb1 0.000 0.000 0.500

Total DFT energy (no corrections)   -2.8092 eV/atom
Magnetic moment   0.00 μB per atom
Calculated density   9.1 Mg/m³

=====

Entry 6:
First-principles (PBE) data for a relaxed structure of Hf2CuHRh, as listed in Alexandria.

a = 4.494 Å, b = 4.494 Å, c = 3.579 Å
α = 90.00°, β = 90.00°, γ = 90.00°
Fractional positions:
Hf1 0.000 0.500 0.000
Hf2 0.500 0.000 0.000
Cu1 0.000 0.000 0.500
H1 0.500 0.500 0.000
Rh1 0.500 0.500 0.500

Total DFT energy (no corrections)   -7.3071 eV/atom
Magnetic moment   0.00 μB per atom
Calculated density   12.1 Mg/m³

=====

Entry 7:
First-principles (PBE) data for a relaxed structure of ZnCu2F8, as listed in Alexandria.

a = 6.321 Å, b = 6.321 Å, c = 3.886 Å
α = 90.00°, β = 90.00°, γ = 120.00°
Fractional positions:
Zn1 0.000 0.000 0.000
Cu1 0.333 0.667 0.244
Cu2 0.667 0.333 0.756
F1 0.162 0.837 0.252
F2 0.163 0.325 0.252
F3 0.325 0.162 0.748
F4 0.333 0.667 0.746
F5 0.667 0.333 0.254
F6 0.675 0.838 0.252
F7 0.837 0.675 0.748
F8 0.838 0.163 0.748

Total DFT energy (no corrections)   -3.6433 eV/atom
Magnetic moment   0.19 μB per atom
Calculated density   4.3 Mg/m³

=====

Entry 8:
First-principles (PBE) data for a relaxed structure of PrAsPd, as listed in Alexandria.

a = 5.921 Å, b = 5.921 Å, c = 5.921 Å
α = 126.44°, β = 90.49°, γ = 113.42°
Fractional positions:
Pr1 0.000 0.000 0.000
Pr2 0.500 0.000 0.500
As1 0.336 0.586 0.750
As2 0.664 0.414 0.250
Pd1 0.000 0.000 0.500
Pd2 0.000 0.500 0.000

Total DFT energy (no corrections)   -5.7216 eV/atom
Magnetic moment   0.00 μB per atom
Calculated density   7.4 Mg/m³

=====

Entry 9:
First-principles (PBE) data for a relaxed structure of Sr2Cd6In, as listed in Alexandria.

a = 6.495 Å, b = 6.495 Å, c = 6.708 Å
α = 90.00°, β = 90.00°, γ = 120.00°
Fractional positions:
Sr1 0.333 0.667 0.143
Sr2 0.667 0.333 0.857
Cd1 0.178 0.355 0.662
Cd2 0.178 0.822 0.662
Cd3 0.355 0.178 0.338
Cd4 0.645 0.822 0.662
Cd5 0.822 0.178 0.338
Cd6 0.822 0.645 0.338
In1 0.000 0.000 0.000

Total DFT energy (no corrections)   -1.5680 eV/atom
Magnetic moment   0.00 μB per atom
Calculated density   6.5 Mg/m³

=====

Question: The highest magnetic moment belongs to which entry?
Answer: TbGd2Ta

=====

Question: What is the formula in the fifth record?
Answer: CaTl2Pb

=====

Question: Among the records above, which one has the highest magnetic moment?
Answer: TbGd2Ta